No. 1
DFT (PBE-GGA) results for an optimized crystal structure of LiZrSiIr.

Unit cell a=6.2088 b=6.2088 c=6.2088 alpha=90.00 beta=90.00 gamma=90.00
Closest atoms and distances in Å follow each position.
Space group F-43m (No. 216)
Symmetry-distinct sites (fractional):
Li (0.0000, 0.0000, 0.0000) [4 per cell]  4 Zr 2.69, 4 Si 2.69
Zr (0.2500, 0.2500, 0.7500) [4 per cell]  4 Li 2.69, 4 Ir 2.69
Si (0.2500, 0.2500, 0.2500) [4 per cell]  4 Li 2.69, 4 Ir 2.69
Ir (0.0000, 0.0000, 0.5000) [4 per cell]  4 Si 2.69, 4 Zr 2.69

Summary:
The crystal system is cubic. The total magnetization comes out at 0.00 μB/f.u. The calculation puts the volume at 239.34 Å³/cell. Its total DFT energy (no corrections) is -6.985 eV per atom. For the theoretical density, the calculation gives 8.84 Mg/m³.



No. 2
DFT (PBE-GGA) results for an optimized crystal structure of LiZrSiIr.

Unit cell a=6.1639 b=6.1639 c=6.1639 alpha=90.00 beta=90.00 gamma=90.00
Closest atoms and distances in Å follow each position.
Space group F-43m (No. 216)
Symmetry-distinct sites (fractional):
Li (0.0000, 0.0000, 0.0000) [4 per cell]  4 Zr 2.67, 4 Ir 2.67
Zr (0.2500, 0.2500, 0.7500) [4 per cell]  4 Si 2.67, 4 Li 2.67
Si (0.0000, 0.0000, 0.5000) [4 per cell]  4 Ir 2.67, 4 Zr 2.67
Ir (0.2500, 0.2500, 0.2500) [4 per cell]  4 Li 2.67, 4 Si 2.67

Summary:
The crystal system is cubic. The total magnetization comes out at 0.19 μB/f.u. The calculation puts the volume at 234.19 Å³/cell. Its total DFT energy (no corrections) is -6.697 eV per atom. For the theoretical density, the calculation gives 9.03 Mg/m³.



No. 3
DFT (PBE-GGA) results for an optimized crystal structure of LiZrSiIr.

Unit cell a=6.3045 b=6.3045 c=6.3045 alpha=90.00 beta=90.00 gamma=90.00
Closest atoms and distances in Å follow each position.
Space group F-43m (No. 216)
Symmetry-distinct sites (fractional):
Li (0.0000, 0.0000, 0.0000) [4 per cell]  4 Si 2.73, 4 Ir 2.73
Zr (0.0000, 0.0000, 0.5000) [4 per cell]  4 Ir 2.73, 4 Si 2.73
Si (0.2500, 0.2500, 0.2500) [4 per cell]  4 Zr 2.73, 4 Li 2.73
Ir (0.2500, 0.2500, 0.7500) [4 per cell]  4 Zr 2.73, 4 Li 2.73

Summary:
The crystal system is cubic. The total magnetization comes out at 0.00 μB/f.u. The calculation puts the volume at 250.59 Å³/cell. Its total DFT energy (no corrections) is -6.670 eV per atom. For the theoretical density, the calculation gives 8.44 Mg/m³.



No. 4
DFT (PBE-GGA) results for an optimized crystal structure of LiSnIr.

Unit cell a=6.1319 b=6.1319 c=6.1319 alpha=90.00 beta=90.00 gamma=90.00
Closest atoms and distances in Å follow each position.
Space group F-43m (No. 216)
Symmetry-distinct sites (fractional):
Li (0.0000, 0.0000, 0.0000) [4 per cell]  4 Ir 2.66
Sn (0.0000, 0.0000, 0.5000) [4 per cell]  4 Ir 2.66
Ir (0.2500, 0.2500, 0.2500) [4 per cell]  4 Sn 2.66, 4 Li 2.66

Summary:
The crystal system is cubic. The total magnetization comes out at 0.00 μB/f.u. The calculation puts the volume at 230.56 Å³/cell. Its total DFT energy (no corrections) is -5.124 eV per atom. For the theoretical density, the calculation gives 9.16 Mg/m³.



No. 5
DFT (PBE-GGA) results for an optimized crystal structure of LiSnIr2.

Unit cell a=6.2832 b=6.2832 c=6.2832 alpha=90.00 beta=90.00 gamma=90.00
Closest atoms and distances in Å follow each position.
Space group F-43m (No. 216)
Symmetry-distinct sites (fractional):
Li (0.0000, 0.0000, 0.0000) [4 per cell]  4 Sn 2.72, 4 Ir 2.72
Sn (0.2500, 0.2500, 0.7500) [4 per cell]  4 Li 2.72, 4 Ir 2.72
Ir (0.0000, 0.0000, 0.5000) [4 per cell]  4 Sn 2.72, 4 Ir 2.72
Ir (0.2500, 0.2500, 0.2500) [4 per cell]  4 Li 2.72, 4 Ir 2.72

Summary:
The crystal system is cubic. The total magnetization comes out at 0.41 μB/f.u. The calculation puts the volume at 248.05 Å³/cell. Its total DFT energy (no corrections) is -5.964 eV per atom. For the theoretical density, the calculation gives 13.66 Mg/m³.



No. 6
DFT (PBE-GGA) results for an optimized crystal structure of Li2SnIr.

Unit cell a=6.2557 b=6.2557 c=6.2557 alpha=90.00 beta=90.00 gamma=90.00
Closest atoms and distances in Å follow each position.
Space group F-43m (No. 216)
Symmetry-distinct sites (fractional):
Li (0.0000, 0.0000, 0.0000) [4 per cell]  4 Ir 2.71, 4 Li 2.71
Li (0.2500, 0.2500, 0.2500) [4 per cell]  4 Sn 2.71, 4 Li 2.71
Sn (0.0000, 0.0000, 0.5000) [4 per cell]  4 Li 2.71, 4 Ir 2.71
Ir (0.2500, 0.2500, 0.7500) [4 per cell]  4 Sn 2.71, 4 Li 2.71

Summary:
The crystal system is cubic. The total magnetization comes out at 0.00 μB/f.u. The calculation puts the volume at 244.80 Å³/cell. Its total DFT energy (no corrections) is -4.581 eV per atom. For the theoretical density, the calculation gives 8.81 Mg/m³.



No. 7
DFT (PBE-GGA) results for an optimized crystal structure of LiSnIr2.

Unit cell a=4.4808 b=4.4808 c=7.8160 alpha=90.00 beta=90.00 gamma=120.00
Closest atoms and distances in Å follow each position.
Space group P6_3/mmc (No. 194)
Symmetry-distinct sites (fractional):
Li (0.3333, 0.6667, 0.2500) [2 per cell]  8 Ir 2.64-2.88
Sn (0.0000, 0.0000, 0.0000) [2 per cell]  6 Ir 2.68
Ir (0.3333, 0.6667, 0.5880) [4 per cell]  1 Ir 2.53, 1 Li 2.64, 3 Sn 2.68

Summary:
The crystal system is hexagonal. The total magnetization comes out at 0.00 μB/f.u. The calculation puts the volume at 135.90 Å³/cell. Its total DFT energy (no corrections) is -5.965 eV per atom. For the theoretical density, the calculation gives 12.47 Mg/m³.



No. 8
DFT (PBE-GGA) results for an optimized crystal structure of LiSnIr2.

Unit cell a=4.3765 b=4.3765 c=7.9524 alpha=90.00 beta=90.00 gamma=120.00
Closest atoms and distances in Å follow each position.
Space group P6_3/mmc (No. 194)
Symmetry-distinct sites (fractional):
Li (0.0000, 0.0000, 0.2500) [2 per cell]  3 Sn 2.53
Sn (0.3333, 0.6667, 0.2500) [2 per cell]  3 Li 2.53, 2 Ir 2.67
Ir (0.3333, 0.6667, 0.5855) [4 per cell]  4 Ir 2.62-2.87, 4 Sn 2.67-2.85, 3 Li 2.85

Summary:
The crystal system is hexagonal. The total magnetization comes out at 0.38 μB/f.u. The calculation puts the volume at 131.91 Å³/cell. Its total DFT energy (no corrections) is -5.772 eV per atom. For the theoretical density, the calculation gives 12.84 Mg/m³.



No. 9
DFT (PBE-GGA) results for an optimized crystal structure of LiSnIr2.

Unit cell a=5.4288 b=8.5585 c=5.4689 alpha=90.00 beta=90.00 gamma=90.00
Closest atoms and distances in Å follow each position.
Space group Pnma (No. 62)
Symmetry-distinct sites (fractional):
Li (0.0624, 0.2500, 0.0604) [4 per cell]  4 Sn 2.69-2.89, 4 Ir 2.71-2.80
Sn (0.0821, 0.2500, 0.5580) [4 per cell]  6 Ir 2.63-2.78, 4 Li 2.69-2.89
Ir (0.1907, 0.5091, 0.3145) [8 per cell]  3 Sn 2.63-2.78, 2 Li 2.71-2.80, 5 Ir 2.80-2.90

Summary:
The crystal system is orthorhombic. The total magnetization comes out at 0.00 μB/f.u. The calculation puts the volume at 254.10 Å³/cell. Its total DFT energy (no corrections) is -6.041 eV per atom. For the theoretical density, the calculation gives 13.33 Mg/m³.



No. 10
DFT (PBE-GGA) results for an optimized crystal structure of LiSnIr2.

Unit cell a=4.3384 b=4.3384 c=8.0413 alpha=90.00 beta=90.00 gamma=120.00
Closest atoms and distances in Å follow each position.
Space group P6_3/mmc (No. 194)
Symmetry-distinct sites (fractional):
Li (0.0000, 0.0000, 0.0000) [2 per cell]  6 Ir 2.61
Sn (0.3333, 0.6667, 0.2500) [2 per cell]  8 Ir 2.75-2.81
Ir (0.3333, 0.6667, 0.5918) [4 per cell]  1 Ir 2.54, 3 Li 2.61, 4 Sn 2.75-2.81

Summary:
The crystal system is hexagonal. The total magnetization comes out at 0.05 μB/f.u. The calculation puts the volume at 131.07 Å³/cell. Its total DFT energy (no corrections) is -5.966 eV per atom. For the theoretical density, the calculation gives 12.92 Mg/m³.



No. 11
DFT (PBE-GGA) results for an optimized crystal structure of LiSnIr2.

Unit cell a=4.0178 b=4.0178 c=3.7797 alpha=90.00 beta=90.00 gamma=90.00
Closest atoms and distances in Å follow each position.
Space group P4/mmm (No. 123)
Symmetry-distinct sites (fractional):
Li (0.0000, 0.0000, 0.0000) [1 per cell]  8 Ir 2.76, 4 Sn 2.84
Sn (0.5000, 0.5000, 0.0000) [1 per cell]  8 Ir 2.76, 4 Li 2.84
Ir (0.0000, 0.5000, 0.5000) [2 per cell]  4 Sn 2.76, 4 Li 2.76, 4 Ir 2.84

Summary:
The crystal system is tetragonal. The total magnetization comes out at 0.00 μB/f.u. The calculation puts the volume at 61.02 Å³/cell. Its total DFT energy (no corrections) is -6.068 eV per atom. For the theoretical density, the calculation gives 13.88 Mg/m³.



No. 12
DFT (PBE-GGA) results for an optimized crystal structure of LiSnIr2.

Unit cell a=3.1615 b=3.1615 c=5.9635 alpha=90.00 beta=90.00 gamma=90.00
Closest atoms and distances in Å follow each position.
Space group P4/mmm (No. 123)
Symmetry-distinct sites (fractional):
Li (0.0000, 0.0000, 0.0000) [1 per cell]  8 Ir 2.63
Sn (0.0000, 0.0000, 0.5000) [1 per cell]  8 Ir 2.74, 2 Li 2.98
Ir (0.5000, 0.5000, 0.2339) [2 per cell]  4 Li 2.63, 4 Sn 2.74, 1 Ir 2.79

Summary:
The crystal system is tetragonal. The total magnetization comes out at 0.00 μB/f.u. The calculation puts the volume at 59.61 Å³/cell. Its total DFT energy (no corrections) is -6.033 eV per atom. For the theoretical density, the calculation gives 14.21 Mg/m³.



No. 13
DFT (PBE-GGA) results for an optimized crystal structure of Li2SnIr.

Unit cell a=6.2548 b=6.2548 c=6.2548 alpha=90.00 beta=90.00 gamma=90.00
Closest atoms and distances in Å follow each position.
Space group F-43m (No. 216)
Symmetry-distinct sites (fractional):
Li (0.0000, 0.0000, 0.0000) [4 per cell]  4 Sn 2.71, 4 Li 2.71
Li (0.2500, 0.2500, 0.2500) [4 per cell]  4 Li 2.71, 4 Ir 2.71
Sn (0.2500, 0.2500, 0.7500) [4 per cell]  4 Li 2.71, 4 Ir 2.71
Ir (0.0000, 0.0000, 0.5000) [4 per cell]  4 Sn 2.71, 4 Li 2.71

Summary:
The crystal system is cubic. The total magnetization comes out at 0.00 μB/f.u. The calculation puts the volume at 244.71 Å³/cell. Its total DFT energy (no corrections) is -4.581 eV per atom. For the theoretical density, the calculation gives 8.82 Mg/m³.



No. 14
DFT (PBE-GGA) results for an optimized crystal structure of Li4ZnSnIr2.

Unit cell a=4.3297 b=4.3297 c=6.0989 alpha=90.00 beta=90.00 gamma=90.00
Closest atoms and distances in Å follow each position.
Space group P-4m2 (No. 115)
Symmetry-distinct sites (fractional):
Li (0.0000, 0.0000, 0.0000) [1 per cell]  4 Ir 2.68, 4 Li 2.72
Li (0.0000, 0.5000, 0.7295) [2 per cell]  4 Li 2.58-2.72, 2 Zn 2.58, 2 Sn 2.72, 1 Ir 2.88
Li (0.5000, 0.5000, 0.5000) [1 per cell]  4 Li 2.58, 4 Ir 2.62
Zn (0.0000, 0.0000, 0.5000) [1 per cell]  4 Li 2.58, 4 Ir 2.62
Sn (0.5000, 0.5000, 0.0000) [1 per cell]  4 Ir 2.68, 4 Li 2.72
Ir (0.0000, 0.5000, 0.2580) [2 per cell]  5 Li 2.62-2.88, 2 Zn 2.62, 2 Sn 2.68

Summary:
The crystal system is tetragonal. The total magnetization comes out at 0.01 μB/f.u. The calculation puts the volume at 114.33 Å³/cell. Its total DFT energy (no corrections) is -4.145 eV per atom. For the theoretical density, the calculation gives 8.66 Mg/m³.



No. 15
DFT (PBE-GGA) results for an optimized crystal structure of SrLiIr.

Unit cell a=6.6479 b=6.6479 c=6.6479 alpha=90.00 beta=90.00 gamma=90.00
Closest atoms and distances in Å follow each position.
Space group F-43m (No. 216)
Symmetry-distinct sites (fractional):
Sr (0.0000, 0.0000, 0.0000) [4 per cell]  4 Ir 2.88
Li (0.0000, 0.0000, 0.5000) [4 per cell]  4 Ir 2.88
Ir (0.2500, 0.2500, 0.7500) [4 per cell]  4 Li 2.88, 4 Sr 2.88

Summary:
The crystal system is cubic. The total magnetization comes out at 0.00 μB/f.u. The calculation puts the volume at 293.79 Å³/cell. Its total DFT energy (no corrections) is -3.975 eV per atom. For the theoretical density, the calculation gives 6.48 Mg/m³.



No. 16
DFT (PBE-GGA) results for an optimized crystal structure of SrLiIr.

Unit cell a=6.7196 b=6.7196 c=6.7196 alpha=90.00 beta=90.00 gamma=90.00
Closest atoms and distances in Å follow each position.
Space group F-43m (No. 216)
Symmetry-distinct sites (fractional):
Sr (0.0000, 0.0000, 0.0000) [4 per cell]  4 Li 2.91, 4 Ir 2.91
Li (0.2500, 0.2500, 0.2500) [4 per cell]  4 Sr 2.91
Ir (0.2500, 0.2500, 0.7500) [4 per cell]  4 Sr 2.91

Summary:
The crystal system is cubic. The total magnetization comes out at 0.00 μB/f.u. The calculation puts the volume at 303.40 Å³/cell. Its total DFT energy (no corrections) is -3.503 eV per atom. For the theoretical density, the calculation gives 6.28 Mg/m³.



No. 17
DFT (PBE-GGA) results for an optimized crystal structure of SrLiTeIr.

Unit cell a=7.1671 b=7.1671 c=7.1671 alpha=90.00 beta=90.00 gamma=90.00
Closest atoms and distances in Å follow each position.
Space group F-43m (No. 216)
Symmetry-distinct sites (fractional):
Sr (0.0000, 0.0000, 0.0000) [4 per cell]  4 Te 3.10, 4 Ir 3.10
Li (0.0000, 0.0000, 0.5000) [4 per cell]  4 Te 3.10, 4 Ir 3.10
Te (0.2500, 0.2500, 0.7500) [4 per cell]  4 Sr 3.10, 4 Li 3.10
Ir (0.2500, 0.2500, 0.2500) [4 per cell]  4 Li 3.10, 4 Sr 3.10

Summary:
The crystal system is cubic. The total magnetization comes out at 0.07 μB/f.u. The calculation puts the volume at 368.16 Å³/cell. Its total DFT energy (no corrections) is -3.980 eV per atom. For the theoretical density, the calculation gives 7.48 Mg/m³.



No. 18
DFT (PBE-GGA) results for an optimized crystal structure of SrLiTeIr.

Unit cell a=6.9036 b=6.9036 c=6.9036 alpha=90.00 beta=90.00 gamma=90.00
Closest atoms and distances in Å follow each position.
Space group F-43m (No. 216)
Symmetry-distinct sites (fractional):
Sr (0.0000, 0.0000, 0.0000) [4 per cell]  4 Li 2.99, 4 Ir 2.99
Li (0.2500, 0.2500, 0.2500) [4 per cell]  4 Te 2.99, 4 Sr 2.99
Te (0.0000, 0.0000, 0.5000) [4 per cell]  4 Ir 2.99, 4 Li 2.99
Ir (0.2500, 0.2500, 0.7500) [4 per cell]  4 Te 2.99, 4 Sr 2.99

Summary:
The crystal system is cubic. The total magnetization comes out at 0.00 μB/f.u. The calculation puts the volume at 329.02 Å³/cell. Its total DFT energy (no corrections) is -4.198 eV per atom. For the theoretical density, the calculation gives 8.37 Mg/m³.



No. 19
DFT (PBE-GGA) results for an optimized crystal structure of SrLiTeIr.

Unit cell a=6.9408 b=6.9408 c=6.9408 alpha=90.00 beta=90.00 gamma=90.00
Closest atoms and distances in Å follow each position.
Space group F-43m (No. 216)
Symmetry-distinct sites (fractional):
Sr (0.0000, 0.0000, 0.0000) [4 per cell]  4 Li 3.01, 4 Te 3.01
Li (0.2500, 0.2500, 0.2500) [4 per cell]  4 Ir 3.01, 4 Sr 3.01
Te (0.2500, 0.2500, 0.7500) [4 per cell]  4 Ir 3.01, 4 Sr 3.01
Ir (0.0000, 0.0000, 0.5000) [4 per cell]  4 Li 3.01, 4 Te 3.01

Summary:
The crystal system is cubic. The total magnetization comes out at 0.01 μB/f.u. The calculation puts the volume at 334.36 Å³/cell. Its total DFT energy (no corrections) is -4.102 eV per atom. For the theoretical density, the calculation gives 8.23 Mg/m³.



No. 20
DFT (PBE-GGA) results for an optimized crystal structure of SrLiIrW.

Unit cell a=6.7686 b=6.7686 c=6.7686 alpha=90.00 beta=90.00 gamma=90.00
Closest atoms and distances in Å follow each position.
Space group F-43m (No. 216)
Symmetry-distinct sites (fractional):
Sr (0.0000, 0.0000, 0.0000) [4 per cell]  4 W 2.93, 4 Ir 2.93
Li (0.0000, 0.0000, 0.5000) [4 per cell]  4 Ir 2.93, 4 W 2.93
Ir (0.2500, 0.2500, 0.7500) [4 per cell]  4 Li 2.93, 4 Sr 2.93
W (0.2500, 0.2500, 0.2500) [4 per cell]  4 Li 2.93, 4 Sr 2.93

Summary:
The crystal system is cubic. The total magnetization comes out at 3.10 μB/f.u. The calculation puts the volume at 310.10 Å³/cell. Its total DFT energy (no corrections) is -5.120 eV per atom. For the theoretical density, the calculation gives 10.08 Mg/m³.